# PmHfTl

A relaxed PmHfTl crystal (PBE, the Open Quantum Materials Database).

Cell lengths 7.2366, 7.2366, 7.2366 Å; angles 90.00, 90.00, 90.00 degrees
With the nearest neighbours (Å) after each atom.
Positions (direct):
Pm1 0.0000 0.0000 0.0000  4 Hf 3.13, 4 Tl 3.13
Pm2 0.0000 0.5000 0.5000  4 Hf 3.13, 4 Tl 3.13
Pm3 0.5000 0.0000 0.5000  4 Hf 3.13, 4 Tl 3.13
Pm4 0.5000 0.5000 0.0000  4 Hf 3.13, 4 Tl 3.13
Hf1 0.2500 0.2500 0.7500  4 Pm 3.13
Hf2 0.2500 0.7500 0.2500  4 Pm 3.13
Hf3 0.7500 0.2500 0.2500  4 Pm 3.13
Hf4 0.7500 0.7500 0.7500  4 Pm 3.13
Tl1 0.2500 0.2500 0.2500  4 Pm 3.13
Tl2 0.2500 0.7500 0.7500  4 Pm 3.13
Tl3 0.7500 0.2500 0.7500  4 Pm 3.13
Tl4 0.7500 0.7500 0.2500  4 Pm 3.13

Results
- Volume: 31.6 A^3/atom
- Total magnetization: 0.385 μB per atom
- SG: F-43m
- E above lowest polymorph: 11.70 kcal/mol of atoms

***

# LaPr2Sn7

A relaxed LaPr2Sn7 crystal (PBE, the Open Quantum Materials Database).

Cell lengths 13.1918, 13.1918, 4.6940 Å; angles 90.00, 90.00, 159.85 degrees
With the nearest neighbours (Å) after each atom.
Positions (direct):
La1 0.0000 0.0000 0.0000  12 Sn 3.29-3.42
Pr1 0.1853 0.8147 0.0000  10 Sn 3.29-3.59
Pr2 0.8147 0.1853 0.0000  10 Sn 3.29-3.59
Sn1 0.0957 0.9043 0.5000  6 Sn 3.29-3.39, 2 Pr 3.31, 2 La 3.42
Sn2 0.2897 0.7103 0.5000  2 Sn 3.10, 4 Pr 3.35
Sn3 0.4048 0.5952 0.0000  2 Pr 3.29, 6 Sn 3.29-3.41, 2 La 3.38
Sn4 0.5000 0.5000 0.5000  4 La 3.29, 8 Sn 3.39-3.41
Sn5 0.5952 0.4048 0.0000  2 Pr 3.29, 6 Sn 3.29-3.41, 2 La 3.38
Sn6 0.7103 0.2897 0.5000  2 Sn 3.10, 4 Pr 3.35
Sn7 0.9043 0.0957 0.5000  6 Sn 3.29-3.39, 2 Pr 3.31, 2 La 3.42

Results
- Volume: 28.1 A^3/atom
- Total energy: -48.744 eV per formula unit
- Total magnetization: 0.000 μB per atom
- SG: Cmmm

***

# ScGaSiPt

A relaxed ScGaSiPt crystal (PBE, the Open Quantum Materials Database).

Cell lengths 6.3959, 4.1979, 9.7889 Å; angles 90.00, 90.00, 90.00 degrees
With the nearest neighbours (Å) after each atom.
Positions (direct):
Sc1 0.0000 0.0000 0.0000  3 Pt 2.85-2.93, 4 Si 2.89, 4 Ga 3.14
Sc2 0.0000 0.5000 0.5000  3 Pt 2.85-2.93, 4 Si 2.89, 4 Ga 3.14
Sc3 0.5000 0.0000 0.1578  3 Pt 2.75-3.00, 4 Ga 2.85
Sc4 0.5000 0.5000 0.6578  3 Pt 2.75-3.00, 4 Ga 2.85
Ga1 0.2040 0.0000 0.6977  1 Si 2.51, 3 Pt 2.58-2.64, 1 Ga 2.61
Ga2 0.2040 0.5000 0.1977  1 Si 2.51, 3 Pt 2.58-2.64, 1 Ga 2.61
Ga3 0.7960 0.0000 0.6977  1 Si 2.51, 3 Pt 2.58-2.64, 1 Ga 2.61
Ga4 0.7960 0.5000 0.1977  1 Si 2.51, 3 Pt 2.58-2.64, 1 Ga 2.61
Si1 0.3008 0.0000 0.4492  3 Pt 2.47-2.56, 1 Ga 2.51, 1 Si 2.55
Si2 0.3008 0.5000 0.9492  3 Pt 2.47-2.56, 1 Ga 2.51, 1 Si 2.55
Si3 0.6992 0.0000 0.4492  3 Pt 2.47-2.56, 1 Ga 2.51, 1 Si 2.55
Si4 0.6992 0.5000 0.9492  3 Pt 2.47-2.56, 1 Ga 2.51, 1 Si 2.55
Pt1 0.0000 0.0000 0.2912  2 Si 2.47, 4 Ga 2.64
Pt2 0.0000 0.5000 0.7912  2 Si 2.47, 4 Ga 2.64
Pt3 0.5000 0.0000 0.8769  4 Si 2.56, 2 Ga 2.58, 1 Sc 2.75
Pt4 0.5000 0.5000 0.3769  4 Si 2.56, 2 Ga 2.58, 1 Sc 2.75

Results
- Volume: 16.4 A^3/atom
- Total magnetization: 0.002 μB per atom
- SG: Amm2
- E above lowest polymorph: 0.49 kcal/mol of atoms

***

- volume of number 3 (ScGaSiPt)?
  16.4 A^3/atom